# LaPm4Al5, relaxed, DFT PBE
data_LaPm4Al5
_symmetry_space_group_name_H-M 'P 4/m m m'
_symmetry_Int_Tables_number 123
_symmetry_space_group_name_Hall '-P 4 2'
_cell_length_a 3.722
_cell_length_b 3.722
_cell_length_c 18.579
_cell_angle_alpha 90.00
_cell_angle_beta 90.00
_cell_angle_gamma 90.00
loop_
_atom_site_label
_atom_site_type_symbol
_atom_site_fract_x
_atom_site_fract_y
_atom_site_fract_z
La1 La 0.000 0.000 0.000
Pm1 Pm 0.000 0.000 0.204
Pm2 Pm 0.000 0.000 0.401
Al1 Al 0.500 0.500 0.107
Al2 Al 0.500 0.500 0.302
Al3 Al 0.500 0.500 0.500
# - energy relative to the elements (meV per atom) = -367
# - density (g/cm³) = 5.5
# - total magnetic moment (μB/atom) = 0.00
# - DOS(E_F) (states/eV/cell) = 3.67
# - calculated volume (Å³/cell) = 257.4
# - DFT total energy (Ha/atom) = -0.1702